A relaxed TaCrOs2 crystal. Source: Alexandria, functional PBE-GGA.

* E_tot: -0.39820 hartree per atom
* total moment: 0.000 μB/atom
* SG: No. 166
* DOS at the Fermi energy: 5.1 states/eV per cell
* energy of formation from the pure elements: 0.148 eV per atom

abc: 9.138 9.138 9.138
angles: 17.31 17.31 17.31
Atoms (fractional coordinates):
Cr1 0.750 0.750 0.750
Os1 0.007 0.007 0.007
Os2 0.493 0.493 0.493
Ta1 0.250 0.250 0.250

=====

A relaxed Hf7Ir2Rh2 crystal. Source: Alexandria, functional PBE-GGA.

* E_tot: -0.35861 hartree per atom
* total moment: 0.000 μB/atom
* SG: No. 12
* DOS at the Fermi energy: 11.9 states/eV per cell
* energy of formation from the pure elements: -0.477 eV per atom

abc: 5.950 6.796 5.950
angles: 81.60 110.12 81.60
Atoms (fractional coordinates):
Hf1 0.951 0.304 0.390
Hf2 0.610 0.696 0.049
Hf3 0.049 0.696 0.610
Hf4 0.390 0.304 0.951
Hf5 0.000 0.000 0.000
Hf6 0.502 0.732 0.502
Hf7 0.498 0.268 0.498
Ir1 0.834 0.407 0.834
Ir2 0.166 0.593 0.166
Rh1 0.702 0.000 0.298
Rh2 0.298 0.000 0.702

=====

A relaxed FeHg2Cl crystal. Source: Alexandria, functional PBE-GGA.

* E_tot: -0.08267 hartree per atom
* total moment: 0.820 μB/atom
* SG: No. 216
* DOS at the Fermi energy: 2.6 states/eV per cell
* energy relative to the lowest polymorph listed for this composition: 198.4 kJ/mol of formula units
* E_form (uncorrected): 0.48 eV/atom

abc: 4.993 4.993 4.993
angles: 60.00 60.00 60.00
Each line ends with the local moment (μB).
Atoms (fractional coordinates):
Cl1 0.500 0.500 0.500  0.05
Hg1 0.000 0.000 0.000  0.01
Hg2 0.250 0.250 0.250  0.03
Fe1 0.750 0.750 0.750  3.10

=====

A relaxed Ba2Al5Zn3 crystal. Source: Alexandria, functional PBE-GGA.

* E_tot: -0.10540 hartree per atom
* total moment: 0.000 μB/atom
* SG: No. 115
* DOS at the Fermi energy: 4.6 states/eV per cell
* energy relative to the lowest polymorph listed for this composition: 7.3 kJ/mol of formula units
* energy of formation from the pure elements: -0.230 eV per atom

abc: 4.517 4.517 11.326
angles: 90.00 90.00 90.00
Atoms (fractional coordinates):
Ba1 0.500 0.000 0.252
Ba2 0.000 0.500 0.748
Al1 0.500 0.500 0.000
Al2 0.000 0.000 0.000
Al3 0.500 0.000 0.863
Al4 0.000 0.500 0.137
Al5 0.500 0.500 0.500
Zn1 0.500 0.000 0.625
Zn2 0.000 0.500 0.375
Zn3 0.000 0.000 0.500